Entry 1:
VASP calculation (PBE) on CaAs2PCl after structural relaxation.

It has space group P4/mmm (No. 123), with a = 4.6784 Å, b = 4.6784 Å, c = 5.8506 Å, α = 90.00°, β = 90.00° and γ = 90.00°. Symmetry generates all atoms from Ca at (0.0000, 0.0000, 0.0000), As at (0.0000, 0.5000, 0.5000), P at (0.0000, 0.0000, 0.5000) and Cl at (0.5000, 0.5000, 0.0000).

Entry 2:
VASP calculation (PBE) on CaAs2PdCl after structural relaxation.

It has space group P4/mmm (No. 123), with a = 4.8557 Å, b = 4.8557 Å, c = 5.2146 Å, α = 90.00°, β = 90.00° and γ = 90.00°. Symmetry generates all atoms from Ca at (0.0000, 0.0000, 0.0000), As at (0.0000, 0.5000, 0.5000), Pd at (0.5000, 0.5000, 0.5000) and Cl at (0.5000, 0.5000, 0.0000).

E_tot list, top to bottom, in eV/atom: -3.9919; -3.9791